[1]
DFT (GGA-PBE) results for a relaxed structure of LaY4Th.

abc: 5.076 15.351 6.219
angles: 66.27 114.09 90.00
Positions (direct):
Y 0.501 0.663 0.502
Th 0.000 0.500 0.500
Y 0.251 0.580 0.003
Y 0.752 0.080 0.003
Y 0.749 0.420 0.997
Y 0.999 0.837 0.498
Th 0.500 0.000 0.500
Y 0.001 0.163 0.502
La 0.250 0.250 0.000
Y 0.248 0.920 0.997
La 0.750 0.750 0.000
Y 0.499 0.337 0.498

Output
Relative energy among the computed polymorphs: 0 meV/atom
N(E_F): 8.72 states/eV/f.u.
Space-group type: C2/m, No. 12
DFT formation energy: 4.1 kJ/mol of atoms

***

[2]
DFT (GGA-PBE) results for a relaxed structure of Li2SbMo.

abc: 6.525 4.665 9.532
angles: 90.00 101.84 90.00
Positions (direct):
Li 0.807 0.500 0.881
Li 0.556 0.500 0.383
Li 0.193 0.500 0.119
Sb 0.736 0.000 0.652
Li 0.807 0.000 0.381
Mo 0.064 0.500 0.394
Li 0.444 0.000 0.117
Sb 0.264 0.000 0.348
Sb 0.736 0.500 0.152
Li 0.193 0.000 0.619
Li 0.444 0.500 0.617
Sb 0.264 0.500 0.848
Li 0.556 0.000 0.883
Mo 0.936 0.500 0.606
Mo 0.064 0.000 0.894
Mo 0.936 0.000 0.106

Output
N(E_F): 1.89 states/eV/f.u.
Uncorrected formation energy: -0.152 eV per atom
Space-group type: C2/m, No. 12

***

[3]
DFT (GGA-PBE) results for a relaxed structure of SrMg14Sn.

abc: 6.619 6.619 10.430
angles: 90.00 90.00 120.00
Positions (direct):
Sn 0.000 0.000 0.000
Mg 0.658 0.829 0.237
Mg 0.658 0.829 0.763
Mg 0.171 0.342 0.237
Mg 0.494 0.506 0.500
Mg 0.494 0.987 0.500
Mg 0.506 0.011 0.000
Mg 0.667 0.333 0.258
Mg 0.989 0.494 0.000
Mg 0.013 0.506 0.500
Mg 0.171 0.829 0.763
Mg 0.171 0.342 0.763
Mg 0.667 0.333 0.742
Mg 0.171 0.829 0.237
Mg 0.506 0.494 0.000
Sr 0.000 0.000 0.500

Output
Relative energy among the computed polymorphs: 25 meV/atom
N(E_F): 9.32 states/eV/f.u.
Space-group type: P-6m2, No. 187
DFT formation energy: 1.3 kJ/mol of atoms

***

| no. | magnetization (μB/cell) |
| --- | --- |
| 1 | 0.0 |
| 2 | 0.0 |
| 3 | 0.0 |